Density functional theory data (PBE) for an optimized crystal structure of Mg2CO.

Summary:
- Distance to the lowest polymorph of the same formula: 0 meV/atom
- E_form (uncorrected): -0.446 eV/atom
- Density: 2388 kg/m³

abc: 5.349 5.349 7.449
angles: 90.00 90.00 90.00
Space group I-42d (No. 122)
Inequivalent atoms, fractional coordinates:
Mg (0.210, 0.250, 0.125)
C (0.000, 0.000, 0.500)
O (0.000, 0.000, 0.000)